Record 1
Pu2BiTe after structural relaxation. Source: the Alexandria database, functional PBE.

Values from the calculation:
Volume = 28.1 A^3/atom
Energy above the lowest structure with this stoichiometry = 95 meV per atom
Total magnetization = 11.020 μB per formula unit
Uncorrected formation energy = -628 meV per atom

a b c (Å): 7.6575 7.6575 7.6575
angles (deg): 90.00 90.00 90.00
Last column: nearest neighbours and their distance in Å.
Space group Fm-3m (No. 225)
Unique sites:
Pu1 0.2500 0.2500 0.2500  4 Bi 3.32, 4 Te 3.32
Bi1 0.0000 0.0000 0.0000  8 Pu 3.32
Te1 0.0000 0.0000 0.5000  8 Pu 3.32



Record 2
CsTl2Te6 after structural relaxation. Source: the Alexandria database, functional PBE.

Values from the calculation:
Volume = 43.7 A^3/atom
Energy above the lowest structure with this stoichiometry = 0 meV per atom
Total magnetization = 0.000 μB per formula unit
Uncorrected formation energy = -279 meV per atom

a b c (Å): 13.7920 10.9015 5.4849
angles (deg): 90.00 107.48 90.00
Last column: nearest neighbours and their distance in Å.
Space group Cm (No. 8)
Unique sites:
Cs1 0.0000 0.0000 0.0000  8 Te 4.10-4.22
Tl1 0.1103 0.5000 0.2457  4 Te 3.37-3.48, 1 Tl 3.43
Tl2 0.3883 0.0000 0.7506  4 Te 3.37-3.47, 1 Tl 3.43
Te1 0.9999 0.2792 0.4997  2 Te 3.04, 2 Tl 3.37
Te2 0.2291 0.2951 0.7284  3 Te 2.91-3.04
Te3 0.2705 0.2057 0.2703  3 Te 2.91-3.04



Record 3
Pm4SmDy2Th after structural relaxation. Source: the Alexandria database, functional PBE.

Values from the calculation:
Volume = 33.4 A^3/atom
Total magnetization = 0.000 μB per formula unit
Formation enthalpy at 0 K = 25.9 meV per atom

a b c (Å): 5.0983 5.1067 10.2483
angles (deg): 90.00 90.00 90.00
Last column: nearest neighbours and their distance in Å.
Space group Pmmm (No. 47)
Unique sites:
Pm1 0.0000 0.0000 0.2462  4 Dy 3.59-3.64, 2 Th 3.59, 4 Pm 3.61, 2 Sm 3.64
Pm2 0.5000 0.5000 0.2472  2 Th 3.59, 4 Dy 3.60-3.63, 4 Pm 3.61, 2 Sm 3.64
Sm1 0.5000 0.0000 0.5000  4 Dy 3.61, 8 Pm 3.64
Dy1 0.0000 0.5000 0.5000  4 Sm 3.61, 8 Pm 3.63-3.64
Dy2 0.5000 0.0000 0.0000  8 Pm 3.59-3.60, 4 Th 3.61
Th1 0.0000 0.5000 0.0000  8 Pm 3.59, 4 Dy 3.61



Record 4
Si2WCl after structural relaxation. Source: the Alexandria database, functional PBE.

Values from the calculation:
Volume = 16.1 A^3/atom
Energy above the lowest structure with this stoichiometry = 101 meV per atom
Total magnetization = 0.004 μB per formula unit
Uncorrected formation energy = 334 meV per atom

a b c (Å): 2.7393 4.7832 4.9501
angles (deg): 90.00 95.36 90.00
Last column: nearest neighbours and their distance in Å.
Space group Pm (No. 6)
Unique sites:
Si1 0.0000 0.0000 0.0000  1 Cl 2.24
Si2 0.0333 0.5000 0.5101  2 Cl 2.41
W1 0.4462 0.5000 0.0352  7 Si 2.68-2.85, 2 W 2.74
Cl1 0.9425 0.0000 0.5449  3 Si 2.24-2.41



Record 5
KNbF2 after structural relaxation. Source: the Alexandria database, functional PBE.

Values from the calculation:
Volume = 21.2 A^3/atom
Energy above the lowest structure with this stoichiometry = 532 meV per atom
Total magnetization = 3.930 μB per formula unit
Uncorrected formation energy = -1290 meV per atom

a b c (Å): 5.8883 5.8883 9.7934
angles (deg): 90.00 90.00 90.00
Last column: nearest neighbours and their distance in Å.
Space group I-42d (No. 122)
Unique sites:
K1 0.0000 0.0000 0.0000  4 F 2.57
Nb1 0.0000 0.0000 0.5000  4 F 2.28
F1 0.2094 0.2500 0.6250  2 Nb 2.28



Record 6
K12RbHg6 after structural relaxation. Source: the Alexandria database, functional PBE.

Values from the calculation:
Volume = 52.9 A^3/atom
Total magnetization = 0.000 μB per formula unit
Formation enthalpy at 0 K = -140.6 meV per atom

a b c (Å): 12.6233 12.6233 12.6233
angles (deg): 90.00 90.00 90.00
Last column: nearest neighbours and their distance in Å.
Space group Im-3 (No. 204)
Unique sites:
K1 0.0000 0.1880 0.3073  3 Hg 3.46-3.71
Rb1 0.0000 0.0000 0.0000  12 K 4.55
Hg1 0.0000 0.3831 0.5000  1 Hg 2.95



Record 7
Ac2Al4Ag3Hg after structural relaxation. Source: the Alexandria database, functional PBE.

Values from the calculation:
Volume = 23.1 A^3/atom
Total magnetization = 0.000 μB per formula unit
Formation enthalpy at 0 K = -343.4 meV per atom

a b c (Å): 4.5957 4.5957 10.9235
angles (deg): 90.00 90.00 90.00
Last column: nearest neighbours and their distance in Å.
Space group P-4m2 (No. 115)
Unique sites:
Ac1 0.0000 0.5000 0.2491  8 Al 3.48-3.56, 6 Ag 3.52-3.58, 2 Hg 3.58
Al1 0.0000 0.0000 0.0000  4 Ag 2.67
Al2 0.0000 0.5000 0.6361  3 Ag 2.61-2.74, 2 Hg 2.74
Al3 0.5000 0.5000 0.0000  4 Ag 2.67
Ag1 0.0000 0.5000 0.8750  5 Al 2.61-2.67
Ag2 0.5000 0.5000 0.5000  4 Al 2.74
Hg1 0.0000 0.0000 0.5000  4 Al 2.74



Record 8
NbNiPbSe3 after structural relaxation. Source: the Alexandria database, functional PBE.

Values from the calculation:
Volume = 23.5 A^3/atom
Total magnetization = 0.000 μB per formula unit
Uncorrected formation energy = -537 meV per atom

a b c (Å): 8.5780 3.5611 10.0131
angles (deg): 90.00 112.97 90.00
Last column: nearest neighbours and their distance in Å.
Space group P2_1/m (No. 11)
Unique sites:
Nb1 0.0336 0.2500 0.3176  6 Se 2.57-2.76, 2 Ni 2.72
Ni1 0.0237 0.7500 0.1090  4 Se 2.37-2.42
Pb1 0.4630 0.7500 0.8316  3 Se 3.13-3.17
Se1 0.1647 0.2500 0.6168  3 Nb 2.71-2.76
Se2 0.1748 0.7500 0.9493  3 Ni 2.37-2.42, 1 Nb 2.57
Se3 0.2594 0.7500 0.3336  1 Ni 2.37, 2 Nb 2.59



Question: total magnetization of number 8 (NbNiPbSe3)?
Answer: 0.000 μB per formula unit



Repeat the third record exactly.
Pm4SmDy2Th after structural relaxation. Source: the Alexandria database, functional PBE.

Values from the calculation:
Volume = 33.4 A^3/atom
Total magnetization = 0.000 μB per formula unit
Formation enthalpy at 0 K = 25.9 meV per atom

a b c (Å): 5.0983 5.1067 10.2483
angles (deg): 90.00 90.00 90.00
Last column: nearest neighbours and their distance in Å.
Space group Pmmm (No. 47)
Unique sites:
Pm1 0.0000 0.0000 0.2462  4 Dy 3.59-3.64, 2 Th 3.59, 4 Pm 3.61, 2 Sm 3.64
Pm2 0.5000 0.5000 0.2472  2 Th 3.59, 4 Dy 3.60-3.63, 4 Pm 3.61, 2 Sm 3.64
Sm1 0.5000 0.0000 0.5000  4 Dy 3.61, 8 Pm 3.64
Dy1 0.0000 0.5000 0.5000  4 Sm 3.61, 8 Pm 3.63-3.64
Dy2 0.5000 0.0000 0.0000  8 Pm 3.59-3.60, 4 Th 3.61
Th1 0.0000 0.5000 0.0000  8 Pm 3.59, 4 Dy 3.61



Question: Which value of total magnetization does entry 2 give?
Answer: 0.000 μB per formula unit